First-principles (GGA-PBEsol) data for Si3Ru2 after structural relaxation, as listed in Alexandria.

a = 5.546 Å, b = 5.546 Å, c = 8.842 Å
α = 90.00°, β = 90.00°, γ = 90.00°
Fractional coordinates of all 20 atoms:
Si: 0.144 0.293 0.410
Si: 0.144 0.707 0.910
Si: 0.293 0.144 0.090
Si: 0.293 0.856 0.590
Si: 0.330 0.330 0.750
Si: 0.330 0.670 0.250
Si: 0.670 0.330 0.250
Si: 0.670 0.670 0.750
Si: 0.707 0.144 0.590
Si: 0.707 0.856 0.090
Si: 0.856 0.293 0.910
Si: 0.856 0.707 0.410
Ru: 0.000 0.000 0.250
Ru: 0.000 0.000 0.750
Ru: 0.000 0.500 0.128
Ru: 0.000 0.500 0.628
Ru: 0.500 0.000 0.372
Ru: 0.500 0.000 0.872
Ru: 0.500 0.500 0.000
Ru: 0.500 0.500 0.500

Summary:
Space group ... P-4c2
E_tot ... -8.187 eV per atom
ΔE_f (raw) ... -0.670 eV per atom
Crystal system ... tetragonal

=====

First-principles (GGA-PBEsol) data for InNiRh after structural relaxation, as listed in Alexandria.

a = 4.178 Å, b = 4.178 Å, c = 4.178 Å
α = 60.00°, β = 60.00°, γ = 60.00°
Fractional coordinates of all 3 atoms:
In: 0.000 0.000 0.000
Ni: 0.250 0.250 0.250
Rh: 0.750 0.750 0.750

Summary:
Space group ... F-43m
Excess energy over the best structure of this formula in the dataset ... 1.37 eV/f.u.
DFT formation energy ... 0.37 eV/atom
Density of states at the Fermi level ... 2.826 states/eV/cell
E_tot ... -5.391 eV per atom
Crystal system ... cubic

=====

First-principles (GGA-PBEsol) data for CaFeMo2 after structural relaxation, as listed in Alexandria.

a = 5.486 Å, b = 5.486 Å, c = 2.626 Å
α = 98.05°, β = 98.05°, γ = 122.19°
Fractional coordinates of all 4 atoms:
Ca: 0.000 0.000 0.000
Fe: 0.500 0.500 0.000
Mo: 0.000 0.500 0.500
Mo: 0.500 0.000 0.500

Summary:
Space group ... C2/m
Excess energy over the best structure of this formula in the dataset ... 0.30 eV/f.u.
DFT formation energy ... 0.74 eV/atom
Density of states at the Fermi level ... 4.540 states/eV/cell
E_tot ... -7.914 eV per atom
Crystal system ... monoclinic

=====

First-principles (GGA-PBEsol) data for Ti3InPd after structural relaxation, as listed in Alexandria.

a = 4.706 Å, b = 4.706 Å, c = 4.706 Å
α = 90.00°, β = 90.00°, γ = 90.00°
Fractional coordinates of all 5 atoms:
Ti: 0.000 0.000 0.500
Ti: 0.000 0.500 0.000
Ti: 0.500 0.000 0.000
In: 0.500 0.500 0.500
Pd: 0.000 0.000 0.000

Summary:
Space group ... Pm-3m
DFT formation energy ... 0.38 eV/atom
Density of states at the Fermi level ... 5.899 states/eV/cell
E_tot ... -6.400 eV per atom
Crystal system ... cubic

=====

First-principles (GGA-PBEsol) data for BiTe3F after structural relaxation, as listed in Alexandria.

a = 5.836 Å, b = 5.836 Å, c = 5.836 Å
α = 90.00°, β = 90.00°, γ = 90.00°
Fractional coordinates of all 5 atoms:
Bi: 0.000 0.000 0.000
Te: 0.000 0.000 0.500
Te: 0.000 0.500 0.000
Te: 0.500 0.000 0.000
F: 0.500 0.500 0.500

Summary:
Space group ... Pm-3m
Density of states at the Fermi level ... 12.864 states/eV/cell
E_tot ... -2.758 eV per atom
ΔE_f (raw) ... 0.600 eV per atom
Crystal system ... cubic

=====

First-principles (GGA-PBEsol) data for LiAg2Pb after structural relaxation, as listed in Alexandria.

a = 9.630 Å, b = 9.630 Å, c = 9.630 Å
α = 18.61°, β = 18.61°, γ = 18.61°
Fractional coordinates of all 4 atoms:
Li: 0.000 0.000 0.000
Ag: 0.258 0.258 0.258
Ag: 0.742 0.742 0.742
Pb: 0.500 0.500 0.500

Summary:
Space group ... R-3m
DFT formation energy ... 0.06 eV/atom
Density of states at the Fermi level ... 1.084 states/eV/cell
E_tot ... -3.085 eV per atom
Crystal system ... trigonal

=====

First-principles (GGA-PBEsol) data for TiSeN2 after structural relaxation, as listed in Alexandria.

a = 6.357 Å, b = 6.357 Å, c = 6.357 Å
α = 27.41°, β = 27.41°, γ = 27.41°
Fractional coordinates of all 4 atoms:
Ti: 0.000 0.000 0.000
Se: 0.500 0.500 0.500
N: 0.392 0.392 0.392
N: 0.608 0.608 0.608

Summary:
Space group ... R-3m
Excess energy over the best structure of this formula in the dataset ... 0.00 eV/f.u.
Density of states at the Fermi level ... 1.120 states/eV/cell
E_tot ... -7.793 eV per atom
ΔE_f (raw) ... -0.487 eV per atom
Crystal system ... trigonal

=====

First-principles (GGA-PBEsol) data for LaZnGaO2 after structural relaxation, as listed in Alexandria.

a = 4.123 Å, b = 4.123 Å, c = 4.501 Å
α = 90.00°, β = 90.00°, γ = 90.00°
Fractional coordinates of all 5 atoms:
La: 0.000 0.000 0.000
Zn: 0.500 0.500 0.000
Ga: 0.500 0.500 0.500
O: 0.000 0.500 0.500
O: 0.500 0.000 0.500

Summary:
Space group ... P4/mmm
Density of states at the Fermi level ... 2.282 states/eV/cell
E_tot ... -5.111 eV per atom
ΔE_f (raw) ... -0.958 eV per atom
Crystal system ... tetragonal

=====

First-principles (GGA-PBEsol) data for CaHg2Te after structural relaxation, as listed in Alexandria.

a = 4.392 Å, b = 4.392 Å, c = 5.721 Å
α = 90.00°, β = 90.00°, γ = 91.90°
Fractional coordinates of all 4 atoms:
Ca: 0.000 0.000 0.000
Hg: 0.250 0.750 0.500
Hg: 0.750 0.250 0.500
Te: 0.500 0.500 0.000

Summary:
Space group ... Cmmm
Density of states at the Fermi level ... 0.967 states/eV/cell
E_tot ... -2.355 eV per atom
ΔE_f (raw) ... -0.657 eV per atom
Crystal system ... orthorhombic

=====

First-principles (GGA-PBEsol) data for YTc2PbC after structural relaxation, as listed in Alexandria.

a = 4.969 Å, b = 4.969 Å, c = 4.311 Å
α = 90.00°, β = 90.00°, γ = 90.00°
Fractional coordinates of all 5 atoms:
Y: 0.000 0.000 0.000
Tc: 0.000 0.500 0.000
Tc: 0.500 0.000 0.000
Pb: 0.500 0.500 0.500
C: 0.000 0.000 0.500

Summary:
Space group ... P4/mmm
DFT formation energy ... 2.38 eV/atom
Density of states at the Fermi level ... 5.834 states/eV/cell
E_tot ... -6.217 eV per atom
Crystal system ... tetragonal

=====

First-principles (GGA-PBEsol) data for BeSb2AuI after structural relaxation, as listed in Alexandria.

a = 5.762 Å, b = 5.762 Å, c = 5.084 Å
α = 90.00°, β = 90.00°, γ = 90.00°
Fractional coordinates of all 5 atoms:
Be: 0.000 0.000 0.000
Sb: 0.000 0.500 0.500
Sb: 0.500 0.000 0.500
Au: 0.500 0.500 0.000
I: 0.500 0.500 0.500

Summary:
Space group ... P4/mmm
Excess energy over the best structure of this formula in the dataset ... 4.74 eV/f.u.
Density of states at the Fermi level ... 5.507 states/eV/cell
E_tot ... -2.195 eV per atom
ΔE_f (raw) ... 1.566 eV per atom
Crystal system ... tetragonal

=====

First-principles (GGA-PBEsol) data for RbHg3Pd after structural relaxation, as listed in Alexandria.

a = 5.265 Å, b = 5.265 Å, c = 5.265 Å
α = 90.00°, β = 90.00°, γ = 90.00°
Fractional coordinates of all 5 atoms:
Rb: 0.000 0.000 0.000
Hg: 0.000 0.500 0.500
Hg: 0.500 0.000 0.500
Hg: 0.500 0.500 0.000
Pd: 0.500 0.500 0.500

Summary:
Space group ... Pm-3m
DFT formation energy ... -0.22 eV/atom
Density of states at the Fermi level ... 1.803 states/eV/cell
E_tot ... -1.961 eV per atom
Crystal system ... cubic

=====

First-principles (GGA-PBEsol) data for HfSnCl2 after structural relaxation, as listed in Alexandria.

a = 11.194 Å, b = 11.194 Å, c = 11.194 Å
α = 16.36°, β = 16.36°, γ = 16.36°
Fractional coordinates of all 4 atoms:
Hf: 0.000 0.000 0.000
Sn: 0.500 0.500 0.500
Cl: 0.388 0.388 0.388
Cl: 0.612 0.612 0.612

Summary:
Space group ... R-3m
Density of states at the Fermi level ... 1.429 states/eV/cell
E_tot ... -5.662 eV per atom
ΔE_f (raw) ... -0.967 eV per atom
Crystal system ... trigonal

=====

First-principles (GGA-PBEsol) data for NdCo3 after structural relaxation, as listed in Alexandria.

a = 8.618 Å, b = 8.618 Å, c = 8.618 Å
α = 33.40°, β = 33.40°, γ = 33.40°
Fractional coordinates of all 12 atoms:
Nd: 0.000 0.000 0.000
Nd: 0.140 0.140 0.140
Nd: 0.860 0.860 0.860
Co: 0.082 0.578 0.578
Co: 0.333 0.333 0.333
Co: 0.422 0.422 0.918
Co: 0.422 0.918 0.422
Co: 0.500 0.500 0.500
Co: 0.578 0.082 0.578
Co: 0.578 0.578 0.082
Co: 0.667 0.667 0.667
Co: 0.918 0.422 0.422

Summary:
Space group ... R-3m
DFT formation energy ... -0.04 eV/atom
Density of states at the Fermi level ... 17.863 states/eV/cell
E_tot ... -7.131 eV per atom
Crystal system ... trigonal

=====

First-principles (GGA-PBEsol) data for HfSiAs2Br after structural relaxation, as listed in Alexandria.

a = 4.727 Å, b = 4.727 Å, c = 4.724 Å
α = 90.00°, β = 90.00°, γ = 90.00°
Fractional coordinates of all 5 atoms:
Hf: 0.000 0.000 0.000
Si: 0.500 0.500 0.500
As: 0.000 0.500 0.500
As: 0.500 0.000 0.500
Br: 0.500 0.500 0.000

Summary:
Space group ... P4/mmm
Density of states at the Fermi level ... 2.287 states/eV/cell
E_tot ... -5.204 eV per atom
ΔE_f (raw) ... 0.463 eV per atom
Crystal system ... tetragonal

=====

First-principles (GGA-PBEsol) data for ScRe2O6 after structural relaxation, as listed in Alexandria.

a = 7.497 Å, b = 4.817 Å, c = 5.616 Å
α = 90.00°, β = 97.87°, γ = 90.00°
Fractional coordinates of all 18 atoms:
Sc: 0.000 0.000 0.000
Sc: 0.000 0.500 0.500
Re: 0.349 0.009 0.371
Re: 0.349 0.491 0.871
Re: 0.651 0.509 0.129
Re: 0.651 0.991 0.629
O: 0.117 0.677 0.825
O: 0.117 0.823 0.325
O: 0.253 0.216 0.077
O: 0.253 0.284 0.577
O: 0.430 0.731 0.158
O: 0.430 0.769 0.658
O: 0.570 0.231 0.342
O: 0.570 0.269 0.842
O: 0.747 0.716 0.423
O: 0.747 0.784 0.923
O: 0.883 0.177 0.675
O: 0.883 0.323 0.175

Summary:
Space group ... P2_1/c
Density of states at the Fermi level ... 5.305 states/eV/cell
E_tot ... -9.288 eV per atom
ΔE_f (raw) ... -2.092 eV per atom
Crystal system ... monoclinic

=====

First-principles (GGA-PBEsol) data for Ag2Sb after structural relaxation, as listed in Alexandria.

a = 4.556 Å, b = 4.556 Å, c = 4.556 Å
α = 60.00°, β = 60.00°, γ = 60.00°
Fractional coordinates of all 3 atoms:
Ag: 0.250 0.250 0.250
Ag: 0.750 0.750 0.750
Sb: 0.000 0.000 0.000

Summary:
Space group ... Fm-3m
Excess energy over the best structure of this formula in the dataset ... 0.21 eV/f.u.
Density of states at the Fermi level ... 1.144 states/eV/cell
E_tot ... -3.603 eV per atom
ΔE_f (raw) ... 0.124 eV per atom
Crystal system ... cubic

=====

First-principles (GGA-PBEsol) data for KDyC2O6 after structural relaxation, as listed in Alexandria.

a = 6.334 Å, b = 6.334 Å, c = 6.887 Å
α = 102.66°, β = 102.66°, γ = 98.17°
Fractional coordinates of all 20 atoms:
K: 0.122 0.878 0.750
K: 0.878 0.122 0.250
Dy: 0.409 0.591 0.250
Dy: 0.591 0.409 0.750
C: 0.143 0.397 0.748
C: 0.397 0.143 0.248
C: 0.603 0.857 0.752
C: 0.857 0.603 0.252
O: 0.059 0.589 0.271
O: 0.207 0.255 0.620
O: 0.255 0.207 0.120
O: 0.300 0.535 0.898
O: 0.411 0.941 0.229
O: 0.465 0.700 0.602
O: 0.535 0.300 0.398
O: 0.589 0.059 0.771
O: 0.700 0.465 0.102
O: 0.745 0.793 0.880
O: 0.793 0.745 0.380
O: 0.941 0.411 0.729

Summary:
Space group ... C2/c
Density of states at the Fermi level ... 0.000 states/eV/cell
E_tot ... -7.875 eV per atom
ΔE_f (raw) ... -2.185 eV per atom
Crystal system ... monoclinic

=====

First-principles (GGA-PBEsol) data for CuRh2W after structural relaxation, as listed in Alexandria.

a = 2.763 Å, b = 2.763 Å, c = 7.123 Å
α = 90.00°, β = 90.00°, γ = 90.00°
Fractional coordinates of all 4 atoms:
Cu: 0.000 0.000 0.000
Rh: 0.500 0.500 0.244
Rh: 0.500 0.500 0.756
W: 0.000 0.000 0.500

Summary:
Space group ... P4/mmm
Excess energy over the best structure of this formula in the dataset ... 0.25 eV/f.u.
DFT formation energy ... -0.09 eV/atom
Density of states at the Fermi level ... 3.698 states/eV/cell
E_tot ... -8.696 eV per atom
Crystal system ... tetragonal

=====

First-principles (GGA-PBEsol) data for Dy3Si12Ru4 after structural relaxation, as listed in Alexandria.

a = 10.025 Å, b = 10.025 Å, c = 8.057 Å
α = 90.00°, β = 90.00°, γ = 47.35°
Fractional coordinates of all 38 atoms:
Dy: 0.000 0.000 0.000
Dy: 0.003 0.497 0.250
Dy: 0.497 0.003 0.750
Dy: 0.500 0.500 0.500
Dy: 0.503 0.997 0.250
Dy: 0.997 0.503 0.750
Si: 0.112 0.122 0.729
Si: 0.112 0.654 0.494
Si: 0.122 0.112 0.271
Si: 0.154 0.612 0.994
Si: 0.168 0.832 0.667
Si: 0.205 0.205 0.500
Si: 0.295 0.295 0.000
Si: 0.332 0.668 0.167
Si: 0.346 0.888 0.494
Si: 0.378 0.388 0.771
Si: 0.388 0.378 0.229
Si: 0.388 0.846 0.994
Si: 0.612 0.154 0.006
Si: 0.612 0.622 0.771
Si: 0.622 0.612 0.229
Si: 0.654 0.112 0.506
Si: 0.668 0.332 0.833
Si: 0.705 0.705 0.000
Si: 0.795 0.795 0.500
Si: 0.832 0.168 0.333
Si: 0.846 0.388 0.006
Si: 0.878 0.888 0.729
Si: 0.888 0.346 0.506
Si: 0.888 0.878 0.271
Ru: 0.126 0.874 0.373
Ru: 0.169 0.169 0.000
Ru: 0.331 0.331 0.500
Ru: 0.374 0.626 0.873
Ru: 0.626 0.374 0.127
Ru: 0.669 0.669 0.500
Ru: 0.831 0.831 0.000
Ru: 0.874 0.126 0.627

Summary:
Space group ... Cmce
Density of states at the Fermi level ... 8.252 states/eV/cell
E_tot ... -7.271 eV per atom
ΔE_f (raw) ... -0.714 eV per atom
Crystal system ... orthorhombic

=====

First-principles (GGA-PBEsol) data for SrMgIn4 after structural relaxation, as listed in Alexandria.

a = 6.132 Å, b = 6.132 Å, c = 6.132 Å
α = 60.00°, β = 60.00°, γ = 60.00°
Fractional coordinates of all 6 atoms:
Sr: 0.000 0.000 0.000
Mg: 0.750 0.750 0.750
In: 0.375 0.375 0.375
In: 0.375 0.375 0.874
In: 0.375 0.874 0.375
In: 0.874 0.375 0.375

Summary:
Space group ... F-43m
DFT formation energy ... -0.18 eV/atom
Density of states at the Fermi level ... 4.057 states/eV/cell
E_tot ... -2.765 eV per atom
Crystal system ... cubic

=====

First-principles (GGA-PBEsol) data for MgZr2Cd after structural relaxation, as listed in Alexandria.

a = 3.091 Å, b = 3.091 Å, c = 8.958 Å
α = 90.00°, β = 90.00°, γ = 90.00°
Fractional coordinates of all 4 atoms:
Mg: 0.000 0.000 0.000
Zr: 0.000 0.000 0.482
Zr: 0.500 0.500 0.733
Cd: 0.500 0.500 0.231

Summary:
Space group ... P4mm
DFT formation energy ... -0.10 eV/atom
Density of states at the Fermi level ... 3.469 states/eV/cell
E_tot ... -5.377 eV per atom
Crystal system ... tetragonal

=====

First-principles (GGA-PBEsol) data for Li2MnNiO4 after structural relaxation, as listed in Alexandria.

a = 5.739 Å, b = 5.739 Å, c = 5.739 Å
α = 121.04°, β = 119.24°, γ = 89.77°
Fractional coordinates of all 16 atoms:
Li: 0.000 0.000 0.000
Li: 0.500 0.000 0.000
Li: 0.500 0.000 0.500
Li: 0.500 0.500 0.500
Mn: 0.000 0.000 0.500
Mn: 0.000 0.500 0.000
Ni: 0.000 0.500 0.500
Ni: 0.500 0.500 0.000
O: 0.225 0.248 0.977
O: 0.229 0.752 0.477
O: 0.234 0.241 0.507
O: 0.234 0.727 0.993
O: 0.766 0.273 0.007
O: 0.766 0.759 0.493
O: 0.771 0.248 0.523
O: 0.775 0.752 0.023

Summary:
Space group ... Imma
Density of states at the Fermi level ... 4.407 states/eV/cell
E_tot ... -6.721 eV per atom
ΔE_f (raw) ... -1.615 eV per atom
Crystal system ... orthorhombic

=====

First-principles (GGA-PBEsol) data for LaWCl after structural relaxation, as listed in Alexandria.

a = 4.968 Å, b = 4.968 Å, c = 4.968 Å
α = 60.00°, β = 60.00°, γ = 60.00°
Fractional coordinates of all 3 atoms:
La: 0.000 0.000 0.000
W: 0.750 0.750 0.750
Cl: 0.250 0.250 0.250

Summary:
Space group ... F-43m
Density of states at the Fermi level ... 1.815 states/eV/cell
E_tot ... -5.881 eV per atom
ΔE_f (raw) ... 1.173 eV per atom
Crystal system ... cubic